(1)
A relaxed SrLuCu crystal. Source: Alexandria, functional PBE-GGA.

## Properties
The formation energy comes out at -0.0320 eV per atom. Its symmetry is I4mm (107). The calculation puts the calculated density at 6.40 g/cm3. As for the magnetic moment: 0.0 μB/cell.

Cell: 3.6093 3.6093 6.9761 Å, 104.99 104.99 90.00°
Fractional coordinates of all 3 atoms:
Lu (0.2891, 0.2891, 0.5782)
Cu (0.6900, 0.6900, 0.3799)
Sr (0.0209, 0.0209, 0.0419)

(2)
A relaxed SrTbIr crystal. Source: Alexandria, functional PBE-GGA.

## Properties
The formation energy comes out at -0.3462 eV per atom. Its symmetry is F-43m (216). The calculation puts the calculated density at 8.47 g/cm3. As for the magnetic moment: 0.0 μB/cell.

Cell: 4.9546 4.9546 4.9546 Å, 60.00 60.00 60.00°
Fractional coordinates of all 3 atoms:
Tb (0.5000, 0.5000, 0.5000)
Sr (0.0000, 0.0000, 0.0000)
Ir (0.2500, 0.2500, 0.2500)

(3)
A relaxed LiFeBr2 crystal. Source: Alexandria, functional PBE-GGA.

## Properties
Its symmetry is Cmmm (65). The calculation puts the calculated density at 3.95 g/cm3. As for the magnetic moment: 3.0 μB/cell. Its formation energy from raw total energies is -365 meV/atom.

Cell: 3.9248 3.9248 7.3234 Å, 90.00 90.00 123.86°
Site moments in Bohr magnetons follow the coordinates.
Fractional coordinates of all 4 atoms:
Fe (0.5000, 0.5000, 0.2500)  2.88
Li (0.5000, 0.5000, 0.7500)  0.01
Br (0.0000, 0.0000, 0.0014)  0.03
Br (0.0000, 0.0000, 0.4986)  0.03